Entry 1:
4
Lattice="-3.582 -0.695 1.812 -3.467 1.003 -1.889 -2.466 -2.917 -1.415" Properties=species:S:1:pos:R:3 comment="CoBrO2 (PBE+U, relaxed)" polymorph_energy_ev_per_atom=1.0838 dos_at_fermi_per_ev_atom=1.115 pbc="T T T"
Co 0.000 0.000 0.000
O -2.379 -0.652 -0.373
O -7.136 -1.956 -1.119
Br -4.757 -1.304 -0.746



Entry 2:
36
Lattice="8.713 0.016 0.012 4.334 7.558 0.012 4.334 2.516 7.127" Properties=species:S:1:pos:R:3 comment="Ti3Mn2SnP6O24 (PBE+U, relaxed)" total_energy_ev_per_cell=-277.79 dos_at_fermi_per_ev_atom=0.235 pbc="T T T"
Ti 14.850 8.621 6.109
Ti 11.230 6.520 4.620
Ti 6.176 3.586 2.541
Mn 17.317 10.054 7.124
Mn 8.707 5.055 3.582
Sn 2.513 1.459 1.034
P 11.774 3.297 3.906
P 5.613 6.811 3.277
P 8.698 3.588 0.327
P 7.428 2.223 5.340
P 9.988 7.856 1.816
P 8.701 6.533 6.810
O 11.169 8.438 4.915
O 12.866 6.465 3.575
O 10.868 7.347 0.639
O 11.994 6.014 6.332
O 8.501 7.929 1.404
O 10.019 6.806 2.961
O 8.027 7.932 6.720
O 9.353 6.197 5.440
O 6.210 7.698 4.376
O 10.879 4.559 4.044
O 5.580 7.553 1.884
O 9.764 4.651 0.036
O 7.648 5.423 7.015
O 11.769 2.524 5.256
O 6.526 5.561 3.146
O 11.101 2.468 2.791
O 8.065 3.932 1.702
O 9.326 2.142 0.414
O 7.414 3.281 4.204
O 8.880 2.081 5.812
O 5.382 4.079 0.828
O 6.485 2.723 6.502
O 4.521 3.616 3.574
O 6.211 1.660 2.227